The following is a DFT calculation (PBE-GGA) of a relaxed structure of PaIr2.

Computed properties:
* ρ: 5.3 Mg/m³
* formation energy: 1853 meV per atom
* space-group type: Fd-3m (227)

a = 8.183 Å, b = 8.183 Å, c = 8.183 Å
α = 60.00°, β = 60.00°, γ = 60.00°
Atoms (fractional coordinates):
Pa  0.125  0.125  0.125
Pa  0.875  0.875  0.875
Ir  0.000  0.000  0.000
Ir  0.000  0.000  0.500
Ir  0.000  0.500  0.000
Ir  0.500  0.000  0.000



The following is a DFT calculation (PBE-GGA) of a relaxed structure of Na2BeZnP2.

Computed properties:
* ρ: 2.7 Mg/m³
* raw total energy: -20.82 eV/cell
* space-group type: P-6m2 (187)

a = 3.878 Å, b = 3.878 Å, c = 8.646 Å
α = 90.00°, β = 90.00°, γ = 120.00°
Atoms (fractional coordinates):
Na  0.000  0.000  0.248
Na  0.000  0.000  0.752
Be  0.333  0.667  0.000
Zn  0.667  0.333  0.500
P  0.333  0.667  0.500
P  0.667  0.333  0.000



ρ of number 1 (PaIr2)? 5.3 Mg/m³



The lowest ρ belongs to which entry? Na2BeZnP2



Copy entry 2 word for word.
The following is a DFT calculation (PBE-GGA) of a relaxed structure of Na2BeZnP2.

Computed properties:
* ρ: 2.7 Mg/m³
* raw total energy: -20.82 eV/cell
* space-group type: P-6m2 (187)

a = 3.878 Å, b = 3.878 Å, c = 8.646 Å
α = 90.00°, β = 90.00°, γ = 120.00°
Atoms (fractional coordinates):
Na  0.000  0.000  0.248
Na  0.000  0.000  0.752
Be  0.333  0.667  0.000
Zn  0.667  0.333  0.500
P  0.333  0.667  0.500
P  0.667  0.333  0.000